# Hg2OsPt GGA-PBE optimized geometry
data_Hg2OsPt
_space_group_name_H-M_alt 'P 1 2/m 1'
_space_group_IT_number 10
_space_group_name_Hall '-P 2y'
_cell_length_a 2.8336
_cell_length_b 4.8610
_cell_length_c 5.1936
_cell_angle_alpha 90.00
_cell_angle_beta 90.39
_cell_angle_gamma 90.00
loop_
_atom_site_label
_atom_site_type_symbol
_atom_site_fract_x
_atom_site_fract_y
_atom_site_fract_z
Hg1 Hg 0.2439 0.0000 0.2488
Os1 Os 0.5000 0.5000 0.0000
Pt1 Pt 0.0000 0.5000 0.5000
# Uncorrected energy (eV/atom): -3.82
# V (Å³ per atom): 17.88
# Theoretical density (g/cm3): 18.26
# Total magnetization (μB/cell): 0.00
# Crystal system: monoclinic